The following is a DFT calculation (PBE) of a relaxed structure of TcSb2AsI.

Cell lengths 5.4116, 5.4116, 5.4290 Å; angles 90.00, 90.00, 90.00 degrees
Closest atoms and distances in Å follow each position.
Space group P4/mmm (No. 123)
One atom of each set of equivalent atoms:
Tc (0.0000, 0.0000, 0.0000)  4 I 3.83, 8 Sb 3.83
Sb (0.0000, 0.5000, 0.5000)  2 As 2.71
As (0.5000, 0.5000, 0.5000)  4 Sb 2.71, 2 I 2.71
I (0.5000, 0.5000, 0.0000)  2 As 2.71

Spin magnetization   3.45 μB/f.u.
Relative energy among the computed polymorphs   0.587 eV per atom
Density of states at the Fermi level   3.32 states/eV/f.u.
Raw formation energy   1.308 eV/atom
V   31.80 A^3/atom

---

The following is a DFT calculation (PBE) of a relaxed structure of SbTeAsI2.

Cell lengths 5.4911, 5.4911, 5.7801 Å; angles 90.00, 90.00, 90.00 degrees
Closest atoms and distances in Å follow each position.
Space group P4/mmm (No. 123)
One atom of each set of equivalent atoms:
Sb (0.0000, 0.0000, 0.0000)  2 As 2.89
Te (0.5000, 0.5000, 0.0000)  4 Sb 3.88, 8 I 3.99
As (0.0000, 0.0000, 0.5000)  4 I 2.75, 2 Sb 2.89
I (0.0000, 0.5000, 0.5000)  2 As 2.75

Spin magnetization   0.15 μB/f.u.
Relative energy among the computed polymorphs   0.031 eV per atom
Density of states at the Fermi level   4.19 states/eV/f.u.
Raw formation energy   0.465 eV/atom
V   34.86 A^3/atom

---

The following is a DFT calculation (PBE) of a relaxed structure of Sb2TeAsI.

Cell lengths 5.9340, 5.9340, 5.7528 Å; angles 90.00, 90.00, 90.00 degrees
Closest atoms and distances in Å follow each position.
Space group P4/mmm (No. 123)
One atom of each set of equivalent atoms:
Sb (0.0000, 0.5000, 0.0000)  2 Te 2.97
Te (0.0000, 0.0000, 0.0000)  2 I 2.88, 4 Sb 2.97
As (0.5000, 0.5000, 0.5000)  8 Sb 4.13, 4 I 4.20
I (0.0000, 0.0000, 0.5000)  2 Te 2.88

Spin magnetization   0.41 μB/f.u.
Relative energy among the computed polymorphs   0.448 eV per atom
Density of states at the Fermi level   3.30 states/eV/f.u.
Raw formation energy   1.003 eV/atom
V   40.51 A^3/atom

---

The following is a DFT calculation (PBE) of a relaxed structure of Sb2TeAsI.

Cell lengths 5.5029, 5.5029, 5.4887 Å; angles 90.00, 90.00, 90.00 degrees
Closest atoms and distances in Å follow each position.
Space group P4/mmm (No. 123)
One atom of each set of equivalent atoms:
Sb (0.0000, 0.5000, 0.0000)  2 As 2.75
Te (0.0000, 0.0000, 0.5000)  2 As 2.74
As (0.0000, 0.0000, 0.0000)  2 Te 2.74, 4 Sb 2.75
I (0.5000, 0.5000, 0.5000)  8 Sb 3.89, 4 Te 3.89

Spin magnetization   0.00 μB/f.u.
Relative energy among the computed polymorphs   0.000 eV per atom
Density of states at the Fermi level   5.23 states/eV/f.u.
Raw formation energy   0.555 eV/atom
V   33.24 A^3/atom

---

The following is a DFT calculation (PBE) of a relaxed structure of SbTeAsI2.

Cell lengths 5.5009, 5.5009, 5.7257 Å; angles 90.00, 90.00, 90.00 degrees
Closest atoms and distances in Å follow each position.
Space group P4/mmm (No. 123)
One atom of each set of equivalent atoms:
Sb (0.0000, 0.0000, 0.0000)  4 Te 3.89, 8 I 3.97
Te (0.5000, 0.5000, 0.0000)  2 As 2.86
As (0.5000, 0.5000, 0.5000)  4 I 2.75, 2 Te 2.86
I (0.0000, 0.5000, 0.5000)  2 As 2.75

Spin magnetization   0.00 μB/f.u.
Relative energy among the computed polymorphs   0.000 eV per atom
Density of states at the Fermi level   3.34 states/eV/f.u.
Raw formation energy   0.433 eV/atom
V   34.65 A^3/atom

---

The following is a DFT calculation (PBE) of a relaxed structure of SbTeAsI2.

Cell lengths 5.9317, 5.9317, 6.0159 Å; angles 90.00, 90.00, 90.00 degrees
Closest atoms and distances in Å follow each position.
Space group P4/mmm (No. 123)
One atom of each set of equivalent atoms:
Sb (0.0000, 0.0000, 0.0000)  4 I 2.97, 2 Te 3.01
Te (0.0000, 0.0000, 0.5000)  2 Sb 3.01
As (0.5000, 0.5000, 0.5000)  4 Te 4.19, 8 I 4.22
I (0.0000, 0.5000, 0.0000)  2 Sb 2.97

Spin magnetization   2.01 μB/f.u.
Relative energy among the computed polymorphs   0.159 eV per atom
Density of states at the Fermi level   3.05 states/eV/f.u.
Raw formation energy   0.592 eV/atom
V   42.33 A^3/atom

---

The following is a DFT calculation (PBE) of a relaxed structure of SbTe2AsI.

Cell lengths 5.8378, 5.8378, 5.8452 Å; angles 90.00, 90.00, 90.00 degrees
Closest atoms and distances in Å follow each position.
Space group P4/mmm (No. 123)
One atom of each set of equivalent atoms:
Sb (0.0000, 0.0000, 0.0000)  4 Te 2.92, 2 I 2.92
Te (0.0000, 0.5000, 0.0000)  2 Sb 2.92
As (0.5000, 0.5000, 0.5000)  4 I 4.13, 8 Te 4.13
I (0.0000, 0.0000, 0.5000)  2 Sb 2.92

Spin magnetization   1.35 μB/f.u.
Relative energy among the computed polymorphs   0.269 eV per atom
Density of states at the Fermi level   4.21 states/eV/f.u.
Raw formation energy   0.753 eV/atom
V   39.84 A^3/atom

---

The following is a DFT calculation (PBE) of a relaxed structure of Sb2TeAsI.

Cell lengths 5.8154, 5.8154, 5.3234 Å; angles 90.00, 90.00, 90.00 degrees
Closest atoms and distances in Å follow each position.
Space group P4/mmm (No. 123)
One atom of each set of equivalent atoms:
Sb (0.0000, 0.5000, 0.0000)  2 Te 2.91
Te (0.0000, 0.0000, 0.0000)  2 As 2.66, 4 Sb 2.91
As (0.0000, 0.0000, 0.5000)  2 Te 2.66
I (0.5000, 0.5000, 0.5000)  8 Sb 3.94, 4 As 4.11

Spin magnetization   0.00 μB/f.u.
Relative energy among the computed polymorphs   0.263 eV per atom
Density of states at the Fermi level   3.35 states/eV/f.u.
Raw formation energy   0.818 eV/atom
V   36.01 A^3/atom